Entry from Alexandria: a relaxed structure of Ni2PdRh (PBE).

Properties
E_tot: -5.965 eV per atom
Energy of formation: 61.9 meV per atom
Mass density: 10.4 g cm⁻³

```
data_Ni2PdRh
_chemical_formula_sum 'Ni4 Pd2 Rh2'
_space_group_name_H-M_alt 'I 4/m m m'
_space_group_IT_number 139
_space_group_name_Hall '-I 4 2'
_cell_length_a 3.783
_cell_length_b 3.783
_cell_length_c 7.299
_cell_angle_alpha 90.00
_cell_angle_beta 90.00
_cell_angle_gamma 90.00
loop_
_atom_site_label
_atom_site_fract_x
_atom_site_fract_y
_atom_site_fract_z
_atom_site_occupancy
Ni1 0.000 0.500 0.250 1
Pd1 0.000 0.000 0.000 1
Rh1 0.000 0.000 0.500 1
```